(1)
Material: TlAg2Sb
Method: DFT, GGA-PBE
State: optimized geometry

a b c (Å): 9.049 9.049 9.049
angles (deg): 22.37 22.37 22.37
Fractional positions:
Sb: 0.250 0.250 0.250
Tl: 0.750 0.750 0.750
Ag: 0.997 0.997 0.997
Ag: 0.503 0.503 0.503

Output
Size of the total moment in μB/cell: 0.0
ΔE_f (raw) in eV/atom: 0.150
Space group: R-3m, No. 166



(2)
Material: CsKTlF3
Method: DFT, GGA-PBE
State: optimized geometry

a b c (Å): 3.993 7.023 10.429
angles (deg): 102.44 90.00 90.00
Fractional positions:
Cs: 0.750 0.672 0.700
Cs: 0.250 0.328 0.300
K: 0.250 0.766 0.043
K: 0.750 0.234 0.957
Tl: 0.250 0.154 0.646
Tl: 0.750 0.846 0.354
F: 0.250 0.721 0.478
F: 0.750 0.027 0.145
F: 0.750 0.556 0.157
F: 0.750 0.279 0.522
F: 0.250 0.444 0.843
F: 0.250 0.973 0.855

Output
Size of the total moment in μB/cell: 0.0
ΔE_f (raw) in eV/atom: -2.349
Space group: P2_1/m, No. 11



(3)
Material: RbZr2VIr
Method: DFT, GGA-PBE
State: optimized geometry

a b c (Å): 5.079 5.079 4.706
angles (deg): 90.00 90.00 90.00
Fractional positions:
Ir: 0.000 0.000 0.500
Rb: 0.500 0.500 0.500
Zr: 0.000 0.500 0.000
Zr: 0.500 0.000 0.000
V: 0.000 0.000 0.000

Output
Energy relative to the elements in eV per atom: 0.8151
Size of the total moment in μB/cell: 0.0
Space group: P4/mmm, No. 123



(4)
Material: ScZnSi2
Method: DFT, GGA-PBE
State: optimized geometry

a b c (Å): 4.428 2.869 5.069
angles (deg): 89.99 90.00 90.00
Fractional positions:
Sc: 0.500 0.750 0.761
Si: 0.000 0.250 0.988
Si: 0.500 0.250 0.253
Zn: 0.000 0.250 0.498

Output
Size of the total moment in μB/cell: 0.0
ΔE_f (raw) in eV/atom: -0.232
Space group: Pmm2, No. 25



(5)
Material: BeAg2Ir
Method: DFT, GGA-PBE
State: optimized geometry

a b c (Å): 3.060 4.249 4.546
angles (deg): 90.00 90.00 90.00
Fractional positions:
Be: 0.500 0.000 0.500
Ir: 0.000 0.500 0.500
Ag: 0.000 0.000 0.000
Ag: 0.500 0.500 0.000

Output
Energy relative to the elements in eV per atom: 0.2661
Size of the total moment in μB/cell: 0.0
Space group: Pmmm, No. 47



(6)
Material: AlCdBr3
Method: DFT, GGA-PBE
State: optimized geometry

a b c (Å): 5.493 5.493 5.493
angles (deg): 90.00 90.00 90.00
Fractional positions:
Al: 0.500 0.500 0.500
Cd: 0.000 0.000 0.000
Br: 0.000 0.500 0.000
Br: 0.000 0.000 0.500
Br: 0.500 0.000 0.000

Output
Size of the total moment in μB/cell: 0.0
Relative energy among the computed polymorphs in eV per atom: 0.0963
ΔE_f (raw) in eV/atom: -0.397
Space group: Pm-3m, No. 221



(7)
Material: Ba2HgAu
Method: DFT, GGA-PBE
State: optimized geometry

a b c (Å): 8.546 8.546 8.546
angles (deg): 34.00 34.00 34.00
Fractional positions:
Au: 0.792 0.792 0.792
Hg: 0.458 0.458 0.458
Ba: 0.041 0.041 0.041
Ba: 0.209 0.209 0.209

Output
Energy relative to the elements in eV per atom: -0.4956
Size of the total moment in μB/cell: 0.0
Space group: R3m, No. 160



(8)
Material: Pm4Ga5Si2
Method: DFT, GGA-PBE
State: optimized geometry

a b c (Å): 4.379 7.066 8.057
angles (deg): 88.71 90.00 90.00
Fractional positions:
Pm: 0.500 0.754 0.617
Pm: 0.500 0.220 0.861
Pm: 0.500 0.246 0.383
Pm: 0.500 0.780 0.139
Ga: 0.000 0.565 0.348
Ga: 0.000 0.123 0.119
Ga: 0.000 0.500 0.000
Ga: 0.000 0.877 0.881
Ga: 0.000 0.435 0.652
Si: 0.000 0.080 0.626
Si: 0.000 0.920 0.374

Output
Size of the total moment in μB/cell: 0.0
ΔE_f (raw) in eV/atom: -0.645
Space group: P2/m, No. 10



(9)
Material: Cr2Cu2As
Method: DFT, GGA-PBE
State: optimized geometry

a b c (Å): 5.943 5.943 3.905
angles (deg): 90.00 90.00 90.00
Fractional positions:
Cr: 0.377 0.877 0.000
Cr: 0.877 0.623 0.000
Cr: 0.623 0.123 0.000
Cr: 0.123 0.377 0.000
As: 0.000 0.000 0.000
As: 0.500 0.500 0.000
Cu: 0.165 0.665 0.500
Cu: 0.665 0.835 0.500
Cu: 0.835 0.335 0.500
Cu: 0.335 0.165 0.500

Output
Energy relative to the elements in eV per atom: 0.3004
Size of the total moment in μB/cell: 0.0
Space group: P4/mbm, No. 127



(10)
Material: LiCeYS3
Method: DFT, GGA-PBE
State: optimized geometry

a b c (Å): 3.873 8.120 8.491
angles (deg): 102.92 90.00 90.00
Last column: magnetic moment on the atom in μB.
Fractional positions:
Li: 0.250 0.088 0.584  0.00
Li: 0.750 0.912 0.416  0.00
Ce: 0.250 0.184 0.221  1.01
Ce: 0.750 0.816 0.779  1.01
Y: 0.250 0.665 0.163  0.06
Y: 0.750 0.335 0.837  0.06
S: 0.750 0.902 0.136  -0.01
S: 0.250 0.098 0.864  -0.01
S: 0.250 0.786 0.501  -0.01
S: 0.750 0.214 0.499  -0.01
S: 0.750 0.429 0.171  -0.01
S: 0.250 0.571 0.829  -0.01

Output
Size of the total moment in μB/cell: 2.5
ΔE_f (raw) in eV/atom: -1.817
Space group: P2_1/m, No. 11



(11)
Material: SrZn2Fe
Method: DFT, GGA-PBE
State: optimized geometry

a b c (Å): 5.017 5.017 5.017
angles (deg): 127.91 114.57 88.26
Last column: magnetic moment on the atom in μB.
Fractional positions:
Fe: 0.250 0.750 0.500  2.73
Sr: 0.750 0.250 0.500  -0.05
Zn: 0.054 0.054 0.000  -0.04
Zn: 0.446 0.446 0.000  -0.04

Output
Energy relative to the elements in eV per atom: 0.2935
Size of the total moment in μB/cell: 2.5
Space group: Immm, No. 71



(12)
Material: Th6BiC
Method: DFT, GGA-PBE
State: optimized geometry

a b c (Å): 6.248 6.249 6.249
angles (deg): 80.07 99.93 80.05
Fractional positions:
Th: 0.085 0.340 0.779
Th: 0.778 0.915 0.660
Th: 0.660 0.222 0.085
Th: 0.222 0.085 0.340
Th: 0.915 0.660 0.221
Th: 0.340 0.778 0.915
Bi: 0.500 0.500 0.500
C: 0.000 0.000 0.000

Output
Energy relative to the elements in eV per atom: -0.1870
Size of the total moment in μB/cell: 0.0
Space group: R-3, No. 148



Going through the records in order, we get VASP energy values of -2.898 -4.004 -6.394 -4.845 -4.306 -2.333 -2.352 -4.735 -6.117 -6.266 -2.880 -7.390 eV per atom.